The following is a GGA-PBE calculation of a relaxed SiSbW2 crystal, from the Alexandria database.

```
SiSbW2
1.0
4.744 0.000 0.000
0.000 3.063 -0.004
0.000 0.007 4.632
W Si Sb
2 1 1
direct
0.500 0.375 0.215 W
0.000 0.875 0.022 W
0.500 0.875 0.735 Si
0.000 0.375 0.528 Sb
```

Output
As for the space group: Pmm2. The energy relative to the elements, uncorrected comes out at 0.4141 eV/atom. For the magnetization, the calculation gives 0.00 μB per cell.